Np2NiB2Ru5 | GGA-PBE | relaxed

Values from the calculation:
**Energy of formation**: -0.206 eV/atom
**ρ**: 12.6 g cm⁻³
**V**: 13.931 Å³/atom
**Symmetry**: No. 127

abc: 3.1026 9.4763 9.4763
angles: 90.00 90.00 90.00
Each line ends with the local moment (μB).
Sites, in units of the cell vectors:
Np1 0.0000 0.6785 0.1785  2.94
Np2 0.0000 0.3215 0.8215  2.94
Np3 0.0000 0.1785 0.3215  2.94
Np4 0.0000 0.8215 0.6785  2.94
Ni1 0.0000 0.0000 0.0000  -0.50
Ni2 0.0000 0.5000 0.5000  -0.50
B1 0.0000 0.1225 0.6225  0.00
B2 0.0000 0.8775 0.3775  0.00
B3 0.0000 0.6225 0.8775  0.00
B4 0.0000 0.3775 0.1225  0.00
Ru1 0.5000 0.2165 0.0713  -0.35
Ru2 0.5000 0.7835 0.9287  -0.35
Ru3 0.5000 0.0713 0.7835  -0.35
Ru4 0.5000 0.7165 0.4287  -0.35
Ru5 0.5000 0.9287 0.2165  -0.35
Ru6 0.5000 0.2835 0.5713  -0.35
Ru7 0.5000 0.5713 0.7165  -0.35
Ru8 0.5000 0.4287 0.2835  -0.35
Ru9 0.5000 0.5000 0.0000  -0.24
Ru10 0.5000 0.0000 0.5000  -0.24